Entry 1:
This record from Alexandria via LeMat-Bulk describes crystalline TlTc2Mo at its relaxed geometry. The functional is PBE.

a = 2.9443 Å, b = 3.9596 Å, c = 5.9242 Å
α = 90.00°, β = 90.00°, γ = 90.00°
Element x y z (fractional)
Tc1 0.0000 0.0000 0.5471
Tc2 0.0000 0.0000 0.9529
Mo1 0.5000 0.5000 0.7500
Tl1 0.5000 0.5000 0.2500

ΔH_f (0 K)   1.8 eV per formula unit
VASP energy   -8.029 eV/atom
Offset from the most stable computed form   0.053 eV/atom
Total magnetization   0.00 μB/cell

***

Entry 2:
This record from Alexandria via LeMat-Bulk describes crystalline BeInCo2 at its relaxed geometry. The functional is PBE.

a = 4.6609 Å, b = 4.6609 Å, c = 4.2592 Å
α = 62.33°, β = 62.33°, γ = 38.04°
Element x y z (fractional)
Co1 0.9653 0.9653 0.0326
Co2 0.5347 0.5347 0.4674
In1 0.7500 0.7500 0.7500
Be1 0.2500 0.2500 0.2500

ΔH_f (0 K)   0.6 eV per formula unit
VASP energy   -5.012 eV/atom
Total magnetization   1.88 μB/cell

***

Entry 3:
This record from Alexandria via LeMat-Bulk describes crystalline Sc2HPd at its relaxed geometry. The functional is PBE.

a = 3.0715 Å, b = 3.0715 Å, c = 6.6461 Å
α = 90.00°, β = 90.00°, γ = 90.00°
Element x y z (fractional)
Pd1 0.5000 0.5000 0.5000
H1 0.5000 0.5000 0.0000
Sc1 0.0000 0.0000 0.2297
Sc2 0.0000 0.0000 0.7703

VASP energy   -5.578 eV/atom
Offset from the most stable computed form   0.239 eV/atom
Total magnetization   0.08 μB/cell